A relaxed MoIr2F crystal. Source: Alexandria, functional PBE with a Hubbard U.

Cell lengths 6.7191, 6.7191, 5.3884 Å; angles 90.00, 90.00, 90.00 degrees
Closest atoms and distances in Å follow each position.
Atoms (fractional coordinates):
Mo  0.0000  0.0000  0.0000  4 Ir 2.49, 2 F 2.69
Mo  0.0000  0.5000  0.2500  4 Ir 2.49, 2 F 2.69
Mo  0.5000  0.0000  0.7500  4 Ir 2.49, 2 F 2.69
Mo  0.5000  0.5000  0.5000  4 Ir 2.49, 2 F 2.69
Ir  0.2465  0.7500  0.6250  2 F 2.45, 2 Mo 2.49, 2 Ir 2.69
Ir  0.2500  0.2465  0.3750  2 F 2.45, 2 Mo 2.49, 2 Ir 2.69
Ir  0.2500  0.2535  0.8750  2 F 2.45, 2 Mo 2.49, 2 Ir 2.69
Ir  0.2535  0.7500  0.1250  2 F 2.45, 2 Mo 2.49, 2 Ir 2.69
Ir  0.7465  0.2500  0.1250  2 F 2.45, 2 Mo 2.49, 2 Ir 2.69
Ir  0.7500  0.7465  0.8750  2 F 2.45, 2 Mo 2.49, 2 Ir 2.69
Ir  0.7500  0.7535  0.3750  2 F 2.45, 2 Mo 2.49, 2 Ir 2.69
Ir  0.7535  0.2500  0.6250  2 F 2.45, 2 Mo 2.49, 2 Ir 2.69
F  0.0000  0.0000  0.5000  4 Ir 2.45, 2 Mo 2.69
F  0.0000  0.5000  0.7500  4 Ir 2.45, 2 Mo 2.69
F  0.5000  0.0000  0.2500  4 Ir 2.45, 2 Mo 2.69
F  0.5000  0.5000  0.0000  4 Ir 2.45, 2 Mo 2.69

- Uncorrected energy: -6.147 eV/atom
- Distance to the lowest polymorph of the same formula: 2.04 kcal/mol of atoms
- M_tot: 0.00 μB per cell